A relaxed AcSm4Tm6 crystal, computed with GGA-PBE.

Cell: 12.655 12.655 6.296 Å, 90.00 90.00 131.33°
Element x y z (fractional)
Ac  0.250  0.750  0.750
Ac  0.750  0.250  0.250
Sm  0.049  0.295  0.247
Sm  0.205  0.451  0.747
Sm  0.295  0.049  0.747
Sm  0.451  0.205  0.247
Sm  0.549  0.795  0.753
Sm  0.705  0.951  0.253
Sm  0.795  0.549  0.253
Sm  0.951  0.705  0.753
Tm  0.089  0.589  0.250
Tm  0.095  0.905  0.250
Tm  0.250  0.250  0.497
Tm  0.250  0.250  0.997
Tm  0.405  0.595  0.250
Tm  0.411  0.911  0.250
Tm  0.589  0.089  0.750
Tm  0.595  0.405  0.750
Tm  0.750  0.750  0.003
Tm  0.750  0.750  0.503
Tm  0.905  0.095  0.750
Tm  0.911  0.411  0.750

Summary:
* symmetry: No. 68

A relaxed AcSm12Tm3 crystal, computed with GGA-PBE.

Cell: 5.126 5.126 20.481 Å, 90.00 90.00 90.00°
Element x y z (fractional)
Ac  0.000  0.000  0.000
Sm  0.000  0.500  0.132
Sm  0.000  0.500  0.377
Sm  0.000  0.500  0.623
Sm  0.000  0.500  0.868
Sm  0.500  0.000  0.132
Sm  0.500  0.000  0.377
Sm  0.500  0.000  0.623
Sm  0.500  0.000  0.868
Sm  0.500  0.500  0.000
Sm  0.500  0.500  0.256
Sm  0.500  0.500  0.500
Sm  0.500  0.500  0.744
Tm  0.000  0.000  0.254
Tm  0.000  0.000  0.500
Tm  0.000  0.000  0.746

Summary:
* symmetry: No. 123

| no. | final energy (eV per atom) |
| --- | --- |
| 1 | -4.238 |
| 2 | -4.608 |